# 1
CrSiSe2 GGA-PBEsol optimized geometry; DOS(E_F) = 1.74 states/eV per cell; energy = -5.8914 eV per atom
1.0
-0.8833 -2.7219 -1.0805
1.8505 -2.4218 0.2583
-3.0364 -3.5068 6.9863
Se Cr Si
2 1 1
Direct
0.7333 0.7333 0.8001 Se
0.2667 0.2667 0.1999 Se
0.0000 0.0000 0.0000 Cr
0.5000 0.5000 0.5000 Si

---

# 2
Sm3CrSe6 GGA-PBEsol optimized geometry; DOS(E_F) = 1.68 states/eV per cell; energy = -6.4233 eV per atom
1.0
-1.8033 -2.1041 -2.8234
-5.5496 -8.3051 9.7339
-13.1987 9.9814 0.9913
Sm Se Cr
12 24 4
Direct
0.5000 0.7380 0.5925 Sm
0.5000 0.1767 0.6495 Sm
0.0000 0.7620 0.0925 Sm
0.5000 0.2620 0.4075 Sm
0.0000 0.6767 0.8505 Sm
0.0000 0.2380 0.9075 Sm
0.0000 0.3233 0.1495 Sm
0.5000 0.9431 0.7789 Sm
0.5000 0.8233 0.3505 Sm
0.0000 0.5569 0.2789 Sm
0.0000 0.4431 0.7211 Sm
0.5000 0.0569 0.2211 Sm
0.0000 0.8746 0.8964 Se
0.0000 0.8218 0.4789 Se
0.5000 0.9235 0.0759 Se
0.5000 0.6925 0.2089 Se
0.0000 0.0986 0.7581 Se
0.5000 0.6254 0.3964 Se
0.0000 0.1782 0.5211 Se
0.0000 0.5268 0.0964 Se
0.0000 0.1925 0.2911 Se
0.0000 0.4235 0.4241 Se
0.5000 0.3218 0.0211 Se
0.0000 0.9014 0.2419 Se
0.5000 0.5986 0.7419 Se
0.0000 0.8075 0.7089 Se
0.5000 0.3746 0.6036 Se
0.0000 0.4732 0.9036 Se
0.5000 0.9732 0.5964 Se
0.5000 0.4014 0.2581 Se
0.0000 0.5765 0.5759 Se
0.5000 0.6782 0.9789 Se
0.5000 0.0268 0.4036 Se
0.5000 0.0765 0.9241 Se
0.5000 0.3075 0.7911 Se
0.0000 0.1254 0.1036 Se
0.5000 0.5000 0.5000 Cr
0.0000 0.0000 0.5000 Cr
0.5000 0.5000 0.0000 Cr
0.0000 0.0000 0.0000 Cr

---

# 3
Sr2CrSe GGA-PBEsol optimized geometry; DOS(E_F) = 2.50 states/eV per cell; energy = -4.7617 eV per atom
1.0
-1.8498 0.7633 3.7598
1.5155 -1.8373 3.5310
5.0813 6.2551 3.6425
Sr Se Cr
2 1 1
Direct
0.7388 0.7388 0.7836 Sr
0.2612 0.2612 0.2164 Sr
0.0000 0.0000 0.0000 Se
0.5000 0.5000 0.5000 Cr

---

# 4
Sr3CrSe GGA-PBEsol optimized geometry; DOS(E_F) = 6.56 states/eV per cell; energy = -3.5581 eV per atom
1.0
-4.9470 -0.4837 -2.7959
1.5564 -5.1613 -1.8608
-2.3725 -2.3772 4.6091
Sr Se Cr
3 1 1
Direct
0.0000 0.0000 0.5000 Sr
0.0000 0.5000 0.0000 Sr
0.5000 0.0000 0.0000 Sr
0.5000 0.5000 0.5000 Se
0.0000 0.0000 0.0000 Cr